Entry 1:
VASP calculation (PBE) on a relaxed structure of AcEr2Ga6. Values from VASP.

- E above lowest polymorph (meV per atom) = 0

```
&SYSTEM
  ibrav = 0, nat = 9, ntyp = 3
/
ATOMIC_SPECIES
Er 167.26 Er.upf
Ac 227.00 Ac.upf
Ga 69.72 Ga.upf
CELL_PARAMETERS angstrom
4.3058 0.0000 0.0000
0.0000 6.4049 -3.6979
0.0000 0.0000 7.3958
ATOMIC_POSITIONS crystal
Er 0.0000 0.3333 0.6667
Er 0.0000 0.6667 0.3333
Ac 0.0000 0.0000 0.0000
Ga 0.5000 0.3379 0.3379
Ga 0.5000 0.6621 0.0000
Ga 0.5000 0.6621 0.6621
Ga 0.5000 0.0000 0.3379
Ga 0.5000 0.0000 0.6621
Ga 0.5000 0.3379 0.0000
```


Entry 2:
VASP calculation (PBE) on a relaxed structure of Ac2ErGa. Values from VASP.

- E above lowest polymorph (meV per atom) = 0

```
&SYSTEM
  ibrav = 0, nat = 4, ntyp = 3
/
ATOMIC_SPECIES
Ac 227.00 Ac.upf
Ga 69.72 Ga.upf
Er 167.26 Er.upf
CELL_PARAMETERS angstrom
3.9379 0.0000 0.0000
0.0000 3.9379 0.0000
0.0000 0.0000 8.8485
ATOMIC_POSITIONS crystal
Ac 0.0000 0.0000 0.2126
Ac 0.0000 0.0000 0.7874
Ga 0.5000 0.5000 0.0000
Er 0.5000 0.5000 0.5000
```


Entry 3:
VASP calculation (PBE) on a relaxed structure of AcErGa2. Values from VASP.

```
&SYSTEM
  ibrav = 0, nat = 4, ntyp = 3
/
ATOMIC_SPECIES
Ga 69.72 Ga.upf
Er 167.26 Er.upf
Ac 227.00 Ac.upf
CELL_PARAMETERS angstrom
-0.3688 0.2906 3.7092
3.5773 -0.9965 0.4338
2.0269 7.1210 -0.3565
ATOMIC_POSITIONS crystal
Ga 0.0000 0.0000 0.7886
Er 0.5000 0.5000 0.0000
Ac 0.5000 0.5000 0.5000
Ga 0.0000 0.0000 0.2114
```


no.,calculated formation energy (eV/atom),raw total energy (eV per cell)
1,-0.5729,-36.552
2,-0.1528,-16.418
3,-0.5032,-16.738